## BaInSb2Te (GGA-PBE)

Data for BaInSb2Te after structural relaxation.

Distance to the lowest polymorph of the same formula   0.702 eV/atom

a = 6.4012 Å, b = 6.4012 Å, c = 6.4908 Å
α = 90.00°, β = 90.00°, γ = 90.00°
With the nearest neighbours (Å) after each atom.
Space group P4/mmm (No. 123)
Asymmetric unit:
Ba1 0.0000 0.0000 0.0000 x1  4 Sb 3.20, 2 Te 3.25
In1 0.5000 0.5000 0.5000 x1  4 Te 4.53, 8 Sb 4.56
Sb1 0.0000 0.5000 0.0000 x2  2 Ba 3.20
Te1 0.0000 0.0000 0.5000 x1  2 Ba 3.25

---

## K2TmUS6 (GGA-PBE)

Data for K2TmUS6 after structural relaxation.

a = 7.3372 Å, b = 7.3348 Å, c = 12.7078 Å
α = 90.00°, β = 125.26°, γ = 90.00°
With the nearest neighbours (Å) after each atom.
Space group P2_1/c (No. 14)
Asymmetric unit:
K1 0.2500 0.0008 0.2500 x4  12 S 3.61-3.73
Tm1 0.0000 0.0000 0.5000 x2  6 S 2.65
U1 0.5000 0.0000 0.0000 x2  6 S 2.54
S1 0.2474 0.2388 0.9971 x4  1 U 2.54, 1 Tm 2.65
S2 0.2584 0.7498 0.4972 x4  1 U 2.54, 1 Tm 2.65
S3 0.2614 0.0000 0.7557 x4  1 U 2.54, 1 Tm 2.65

---

| no. | E_form (uncorrected) (eV per atom) |
| --- | --- |
| 1 | 0.548 |
| 2 | -1.335 |